Computed, not measured: a geometry-optimized TmTl2NiF6 structure at the PBE+U level of DFT.

Cell: 5.937 5.937 10.092 Å, 90.00 90.00 90.00°
Each line ends with the local moment (μB).
Fractional positions:
F1 0.255 0.494 0.500  0.01
F2 0.754 0.998 0.000  0.01
F3 0.755 0.506 0.000  0.01
F4 0.745 0.494 0.500  0.01
F5 0.500 0.253 0.788  0.00
F6 0.746 0.002 0.500  0.01
F7 0.245 0.506 0.000  0.01
F8 0.000 0.747 0.712  0.00
F9 0.000 0.747 0.288  0.00
F10 0.500 0.253 0.212  0.00
F11 0.246 0.998 0.000  0.01
F12 0.254 0.002 0.500  0.01
Tl1 0.500 0.750 0.250  -0.01
Tl2 0.500 0.750 0.750  -0.01
Tl3 0.000 0.250 0.750  -0.01
Tl4 0.000 0.250 0.250  -0.01
Tm1 0.500 0.252 0.000  0.01
Tm2 0.000 0.748 0.500  0.01
Ni1 0.000 0.752 0.000  1.04
Ni2 0.500 0.248 0.500  1.04

Properties
crystal system	orthorhombic
total energy	-97.45	eV for the cell shown
SG	Pmmn (59)